Entry 1:
NbAl2AgSb | PBE | optimized geometry

Output
The excess energy over the best structure of this formula in the dataset comes out at 1.712 eV per formula unit. The space group is P4/mmm, No. 123. As for the total moment: 0.0 μB/cell. The calculation puts the formation energy (no corrections) at 0.99 eV per atom. The calculation puts the density of states at the Fermi level at 0.851 states/eV/atom.

a b c (Å): 5.0148 5.1514 5.0148
angles (deg): 90.00 90.00 90.00
Fractional coordinates of all 5 atoms:
Sb 0.5000 0.5000 0.5000
Nb 0.0000 0.0000 0.0000
Al 0.0000 0.0000 0.5000
Al 0.5000 0.0000 0.0000
Ag 0.0000 0.5000 0.0000

Entry 2:
ScNbAl2Ag | PBE | optimized geometry

Output
As for the energy of formation from the pure elements: 1187 meV per atom. The space group is P4/mmm, No. 123. As for the total moment: 0.0 μB/cell. The calculation puts the density of states at the Fermi level at 0.790 states/eV/atom.

a b c (Å): 5.0715 5.0715 4.5864
angles (deg): 90.00 90.00 90.00
Fractional coordinates of all 5 atoms:
Sc 0.0000 0.0000 0.0000
Nb 0.0000 0.0000 0.5000
Al 0.0000 0.5000 0.0000
Al 0.5000 0.0000 0.0000
Ag 0.5000 0.5000 0.5000

Entry 3:
NdAl2Ag5 | PBE | optimized geometry

Output
As for the energy of formation from the pure elements: -165 meV per atom. The space group is Immm, No. 71. As for the total moment: 0.0 μB/cell. The calculation puts the density of states at the Fermi level at 0.438 states/eV/atom.

a b c (Å): 4.1235 6.7193 6.7193
angles (deg): 69.24 72.13 72.13
Fractional coordinates of all 8 atoms:
Nd 0.0000 0.0000 0.0000
Al 0.7451 0.7549 0.7549
Al 0.2549 0.2451 0.2451
Ag 0.0000 0.5000 0.5000
Ag 0.6450 0.5460 0.1639
Ag 0.3550 0.4540 0.8361
Ag 0.3550 0.8361 0.4540
Ag 0.6450 0.1639 0.5460

Entry 4:
Nd3AlAg | PBE | optimized geometry

Output
The excess energy over the best structure of this formula in the dataset comes out at 0.000 eV per formula unit. As for the energy of formation from the pure elements: -210 meV per atom. The space group is Cmcm, No. 63. As for the total moment: 0.2 μB/cell. The calculation puts the density of states at the Fermi level at 1.319 states/eV/atom.

a b c (Å): 5.3372 5.3447 10.3058
angles (deg): 90.00 74.99 90.00
Fractional coordinates of all 10 atoms:
Nd 0.7624 0.2500 0.1235
Nd 0.3925 0.2500 0.8634
Nd 0.5762 0.2500 0.4960
Nd 0.2559 0.7500 0.1366
Nd 0.8860 0.7500 0.8765
Nd 0.0722 0.7500 0.5040
Al 0.6697 0.7500 0.3089
Al 0.9786 0.2500 0.6911
Ag 0.4814 0.7500 0.6855
Ag 0.1669 0.2500 0.3145

Entry 5:
NdAl4Ag8 | PBE | optimized geometry

Output
As for the energy of formation from the pure elements: -205 meV per atom. The space group is I4/mmm, No. 139. As for the total moment: 0.0 μB/cell. The calculation puts the density of states at the Fermi level at 0.394 states/eV/atom.

a b c (Å): 5.3851 7.1712 7.1712
angles (deg): 81.90 67.95 67.95
Fractional coordinates of all 13 atoms:
Nd 0.0000 0.0000 0.0000
Al 0.0000 0.0000 0.5000
Al 0.5000 0.0000 0.5000
Al 0.0000 0.5000 0.0000
Al 0.5000 0.5000 0.0000
Ag 0.0000 0.3449 0.6551
Ag 0.0000 0.6551 0.3449
Ag 0.3449 0.6551 0.6551
Ag 0.6551 0.3449 0.3449
Ag 0.5000 0.7822 0.2178
Ag 0.5000 0.2178 0.7822
Ag 0.2822 0.2178 0.2178
Ag 0.7178 0.7822 0.7822

Entry 6:
NdAl3Ag | PBE | optimized geometry

Output
The excess energy over the best structure of this formula in the dataset comes out at 0.869 eV per formula unit. As for the energy of formation from the pure elements: -235 meV per atom. The space group is P6_3/mmc, No. 194. As for the total moment: 0.0 μB/cell. The calculation puts the density of states at the Fermi level at 0.494 states/eV/atom.

a b c (Å): 5.8771 6.4284 6.4280
angles (deg): 120.00 90.00 90.00
Fractional coordinates of all 10 atoms:
Nd 0.7499 0.6667 0.3334
Nd 0.2501 0.3333 0.6666
Al 0.7501 0.6058 0.8029
Al 0.2499 0.8028 0.6057
Al 0.2499 0.3942 0.1971
Al 0.7501 0.1972 0.3943
Al 0.2499 0.8028 0.1971
Al 0.7501 0.1972 0.8029
Ag 0.0000 0.0000 0.0000
Ag 0.5000 0.0000 0.0000